No. 1
K2AgTe | Alexandria via LeMat-Bulk | PBE-GGA | optimized geometry; uncorrected formation energy = -0.32 eV per atom; D(E_F) = 0.591 states/eV per atom; total moment = 0.0 μB/f.u.; V = 33.0 Å³ per atom
1.0
-2.9909 0.2626 -4.8609
0.1619 -4.3567 -3.6926
-4.5977 -3.3170 -0.7079
Ag K Te
1 2 1
Direct
0.5000 0.5000 0.5000 Ag
0.0000 0.0000 0.0000 K
0.2500 0.2500 0.2500 K
0.7500 0.7500 0.7500 Te

---

No. 2
K3AgTe4 | Alexandria via LeMat-Bulk | PBE-GGA | optimized geometry; uncorrected formation energy = -0.65 eV per atom; D(E_F) = 0.226 states/eV per atom; total moment = 0.0 μB/f.u.; V = 40.6 Å³ per atom
1.0
-4.8373 1.6376 -2.0695
1.7544 -2.0640 -5.7341
-2.0897 -8.1242 5.7919
Te K Ag
4 3 1
Direct
0.6211 0.3827 0.2422 Te
0.6211 0.8595 0.2422 Te
0.3789 0.6173 0.7578 Te
0.3789 0.1405 0.7578 Te
0.8015 0.8015 0.6029 K
0.1985 0.1985 0.3971 K
0.0000 0.5000 0.0000 K
0.5000 0.0000 0.0000 Ag

---

No. 3
K2AgTe | Alexandria via LeMat-Bulk | PBE-GGA | optimized geometry; uncorrected formation energy = -0.33 eV per atom; D(E_F) = 0.260 states/eV per atom; total moment = 0.0 μB/f.u.; V = 35.1 Å³ per atom
1.0
9.3808 0.0000 0.0000
0.0000 9.3808 0.0000
4.6904 4.6904 3.1954
K Te Ag
4 2 2
Direct
0.1343 0.6250 0.2500 K
0.8750 0.8657 0.7500 K
0.6157 0.1250 0.2500 K
0.3750 0.3843 0.7500 K
0.0000 0.0000 0.0000 Te
0.7500 0.2500 0.5000 Te
0.5000 0.5000 0.0000 Ag
0.2500 0.7500 0.5000 Ag

---

No. 4
KAgTe3 | Alexandria via LeMat-Bulk | PBE-GGA | optimized geometry; uncorrected formation energy = 0.92 eV per atom; D(E_F) = 1.026 states/eV per atom; energy above the lowest structure with this stoichiometry = 1235 meV per atom; total moment = 0.0 μB/f.u.; V = 43.6 Å³ per atom
1.0
-2.9016 -0.5125 -5.2475
-4.4680 -2.9410 2.7578
-2.7992 5.2255 1.0375
K Te Ag
1 3 1
Direct
0.0000 0.0000 0.0000 K
0.0000 0.5000 0.0000 Te
0.0000 0.0000 0.5000 Te
0.5000 0.0000 0.0000 Te
0.5000 0.5000 0.5000 Ag

---

No. 5
K3Th2AgTe6 | Alexandria via LeMat-Bulk | PBE-GGA | optimized geometry; uncorrected formation energy = -1.06 eV per atom; total moment = 0.0 μB/f.u.; V = 37.4 Å³ per atom
1.0
7.9329 0.0067 0.0018
-3.9587 6.8745 0.0018
-1.3238 -2.2922 8.2161
Te Ag Th K
6 1 2 3
Direct
0.2689 0.2689 0.7891 Te
0.0706 0.4085 0.2110 Te
0.5915 0.9294 0.7890 Te
0.7311 0.7311 0.2109 Te
0.4085 0.0706 0.2110 Te
0.9294 0.5915 0.7890 Te
0.0000 0.0000 0.0000 Ag
0.6671 0.3329 0.0000 Th
0.3329 0.6671 0.0000 Th
0.1638 0.8362 0.5000 K
0.8362 0.1638 0.5000 K
0.5000 0.5000 0.5000 K

---

No. 6
KThAg2Te4 | Alexandria via LeMat-Bulk | PBE-GGA | optimized geometry; uncorrected formation energy = -0.53 eV per atom; D(E_F) = 0.611 states/eV per atom; total moment = 0.0 μB/f.u.; V = 33.5 Å³ per atom
1.0
7.2556 0.0000 0.0000
3.6278 6.0807 -0.0712
3.6278 0.4274 6.0661
Ag Te Th K
2 4 1 1
Direct
0.8354 0.6646 0.6646 Ag
0.1646 0.3354 0.3354 Ag
0.5195 0.4787 0.9273 Te
0.9255 0.5213 0.0727 Te
0.4805 0.0727 0.5213 Te
0.0745 0.9273 0.4787 Te
0.5000 0.5000 0.5000 Th
0.0000 0.0000 0.0000 K